Record 1
DFT (PBE-GGA) results for VPd2Pb after structural relaxation.

Lattice parameters (Å, degrees): 4.6248 4.6248 4.6248 60.00 60.00 60.00
Each line ends with the local moment (μB).
Fractional coordinates of all 4 atoms:
Pb1 0.5000 0.5000 0.5000  -0.03
Pd1 0.2500 0.2500 0.2500  0.04
Pd2 0.7500 0.7500 0.7500  0.04
V1 0.0000 0.0000 0.0000  2.15

ρ ... 11.18 Mg/m³
Calculated formation energy ... -0.02 eV per atom
Symmetry ... Fm-3m (225)
Total energy ... -5.822 eV per atom

---

Record 2
DFT (PBE-GGA) results for YCo2H8 after structural relaxation.

Lattice parameters (Å, degrees): 4.0496 4.0496 4.7396 90.00 90.00 90.00
Each line ends with the local moment (μB).
Fractional coordinates of all 11 atoms:
Y1 0.5000 0.5000 0.5000  0.01
Co1 0.5000 0.0000 0.0000  0.37
Co2 0.0000 0.5000 0.0000  0.37
H1 0.7827 0.7827 0.1830  0.00
H2 0.7827 0.2173 0.8170  0.00
H3 0.7827 0.7827 0.8170  0.00
H4 0.7827 0.2173 0.1830  0.00
H5 0.2173 0.7827 0.1830  0.00
H6 0.2173 0.7827 0.8170  0.00
H7 0.2173 0.2173 0.1830  0.00
H8 0.2173 0.2173 0.8170  0.00

ρ ... 4.59 Mg/m³
Symmetry ... P4/mmm (123)
Total energy ... -4.430 eV per atom

---

Record 3
DFT (PBE-GGA) results for RbSnTe2 after structural relaxation.

Lattice parameters (Å, degrees): 4.4661 4.4661 9.1412 75.86 75.86 60.00
Fractional coordinates of all 4 atoms:
Rb1 0.5000 0.5000 0.4998
Sn1 0.6669 0.6669 0.9996
Te1 0.0657 0.0657 0.8029
Te2 0.2674 0.2674 0.1977

ρ ... 5.04 Mg/m³
Symmetry ... R3m (160)
Total energy ... -3.334 eV per atom

---

Record 4
DFT (PBE-GGA) results for ZrBrO after structural relaxation.

Lattice parameters (Å, degrees): 6.2916 3.4843 3.4843 120.00 90.00 90.00
Each line ends with the local moment (μB).
Fractional coordinates of all 3 atoms:
O1 0.1866 0.0000 0.0000  0.04
Br1 0.7495 0.3333 0.6667  0.01
Zr1 0.0639 0.6667 0.3333  0.63

ρ ... 4.70 Mg/m³
Symmetry ... P3m1 (156)
Total energy ... -7.026 eV per atom